Entry 1:
VASP calculation (PBE) on PmMgGeH after structural relaxation.

Cell: 4.234 4.234 7.943 Å, 90.00 90.00 90.00°
Fractional positions:
Ge  0.000  0.500  0.279
Ge  0.500  0.000  0.721
H  0.000  0.000  0.000
H  0.500  0.500  0.000
Mg  0.000  0.000  0.500
Mg  0.500  0.500  0.500
Pm  0.500  0.000  0.138
Pm  0.000  0.500  0.862

=====

Entry 2:
VASP calculation (PBE) on PrMgGeH after structural relaxation.

Cell: 4.288 4.288 8.013 Å, 90.00 90.00 90.00°
Fractional positions:
H  0.500  0.500  0.000
H  0.000  0.000  0.000
Ge  0.000  0.500  0.283
Ge  0.500  0.000  0.717
Pr  0.000  0.500  0.858
Pr  0.500  0.000  0.142
Mg  0.500  0.500  0.500
Mg  0.000  0.000  0.500

=====

The records above yield E_tot values of -4.20 -4.20 eV/atom, respectively.